Record 1
The following is a DFT calculation (PBE) of an optimized crystal structure of LiInFeTe.

Computed properties:
density = 6.8 g/cm³
energy relative to the lowest polymorph listed for this composition = 0 meV/atom

Structure (CIF):
```
data_LiInFeTe
_cell_length_a 4.733
_cell_length_b 4.733
_cell_length_c 4.733
_cell_angle_alpha 60.00
_cell_angle_beta 60.00
_cell_angle_gamma 60.00
_symmetry_space_group_name_H-M 'P 1'
_symmetry_Int_Tables_number 1
loop_
_symmetry_equiv_pos_as_xyz
'x,y,z'
loop_
_atom_site_label
_atom_site_type_symbol
_atom_site_fract_x
_atom_site_fract_y
_atom_site_fract_z
_atom_site_occupancy
Fe1 Fe 0.250 0.250 0.250 1
In1 In 0.000 0.000 0.000 1
Li1 Li 0.750 0.750 0.750 1
Te1 Te 0.500 0.500 0.500 1
```

Record 2
The following is a DFT calculation (PBE) of an optimized crystal structure of LiYInFe.

Computed properties:
density = 6.0 g/cm³
energy relative to the lowest polymorph listed for this composition = 0 meV/atom

Structure (CIF):
```
data_LiYInFe
_cell_length_a 4.701
_cell_length_b 4.701
_cell_length_c 4.701
_cell_angle_alpha 60.00
_cell_angle_beta 60.00
_cell_angle_gamma 60.00
_symmetry_space_group_name_H-M 'P 1'
_symmetry_Int_Tables_number 1
loop_
_symmetry_equiv_pos_as_xyz
'x,y,z'
loop_
_atom_site_label
_atom_site_type_symbol
_atom_site_fract_x
_atom_site_fract_y
_atom_site_fract_z
_atom_site_occupancy
Fe1 Fe 0.750 0.750 0.750 1
In1 In 0.000 0.000 0.000 1
Li1 Li 0.250 0.250 0.250 1
Y1 Y 0.500 0.500 0.500 1
```